Density functional theory data (PBEsol) for a relaxed TaCo2P crystal.

Unit cell a=4.655 b=4.655 c=4.655 alpha=141.47 beta=128.10 gamma=66.47
Fractional positions:
Ta 0.000 0.000 0.000
Co 0.442 0.442 0.000
Co 0.726 0.226 0.500
P 0.255 0.755 0.500

Total energy: -35.445 eV for the cell shown
Energy relative to the elements: -1.628 eV/f.u.